Hf2Cd2Ga | PBE | relaxed

Cell and atoms, written as extended XYZ:
```
10
Lattice="7.098 0.000 0.000 0.000 7.098 0.000 0.000 0.000 4.498" Properties=species:S:1:pos:R:3 pbc="T T T"
Hf 1.073 2.476 0.000
Hf 2.476 6.025 0.000
Hf 4.622 1.073 0.000
Hf 6.025 4.622 0.000
Cd 1.073 4.622 2.249
Cd 2.476 1.073 2.249
Cd 4.622 6.024 2.249
Cd 6.024 2.476 2.249
Ga 0.000 0.000 0.000
Ga 3.549 3.549 0.000
```

Calculated values
- spin magnetization (μB/f.u.) = 0.5
- SG = No. 127
- E above lowest polymorph (meV/atom) = 0.0

MgAg | PBE | relaxed

Cell and atoms, written as extended XYZ:
```
4
Lattice="3.075 0.000 0.000 -1.537 2.663 0.000 0.000 0.000 9.281" Properties=species:S:1:pos:R:3 pbc="T T T"
Mg 0.000 0.000 0.000
Mg 0.000 0.000 4.640
Ag 0.000 1.775 2.320
Ag 1.537 0.888 6.960
```

Calculated values
- spin magnetization (μB/f.u.) = 0.0
- SG = No. 194

no.,formation energy (kcal/mol of atoms),calculated total energy (eV per atom),volume (Å³ per cell)
1,3.9,-4.784,227
2,-2.7,-2.341,76